The following is a DFT calculation (GGA-PBE) of a relaxed structure of PmGe3Pt2.

Computed properties:
**Formation energy from the elements**: -0.699 eV per atom
**Magnetization**: 0.00 μB/atom
**V**: 459 Å³ per cell
**Energy**: -5.813 eV per atom

CIF file:
```
data_PmGe3Pt2
_chemical_formula_sum 'Pm4 Ge12 Pt8'
_cell_length_a 16.0392
_cell_length_b 4.2427
_cell_length_c 7.4476
_cell_angle_alpha 90.00
_cell_angle_beta 114.96
_cell_angle_gamma 90.00
_symmetry_space_group_name_H-M 'C 1 2/m 1'
_symmetry_Int_Tables_number 12
loop_
_symmetry_equiv_pos_as_xyz
'x,y,z'
'-x,-y,-z'
'-x,y,-z'
'x,-y,z'
'x+1/2,y+1/2,z'
'-x+1/2,-y+1/2,-z'
'-x+1/2,y+1/2,-z'
'x+1/2,-y+1/2,z'
loop_
_atom_site_label
_atom_site_fract_x
_atom_site_fract_y
_atom_site_fract_z
_atom_site_occupancy
Pm1 0.1266 0.0000 0.1552 1
Ge1 0.0438 0.0000 0.6779 1
Ge2 0.1598 0.5000 0.4648 1
Ge3 0.1819 0.5000 0.8913 1
Pt1 0.0097 0.5000 0.8207 1
Pt2 0.2096 0.0000 0.6934 1
```